{
  "formula": "ScMnP2O",
  "functional": "GGA+U",
  "state": "relaxed",
  "sg": "P4/mmm",
  "polymorph_energy_ev_per_atom": 0.113,
  "dos_ef_per_ev_atom": 0.81,
  "final_energy_ev_per_atom": -6.189,
  "cell": [[5.1325, 0.0000, 0.0000], [0.0000, 5.1325, 0.0000], [0.0000, 0.0000, 3.8555]],
  "species": ["Sc", "Mn", "P", "P", "O"],
  "fractional_positions": [[0.0000, 0.0000, 0.0000], [0.5000, 0.5000, 0.5000], [0.0000, 0.5000, 0.0000], [0.5000, 0.0000, 0.0000], [0.0000, 0.0000, 0.5000]]
}